Compound: Tb2Al9Cu6
Source: the Alexandria database
Functional: PBE
Structure: relaxed

The structure in extended XYZ format:
```
17
Lattice="5.324 0.000 0.000 -2.662 4.610 0.000 0.000 0.000 12.258" Properties=species:S:1:pos:R:3 pbc="T T T"
Tb 0.000 0.000 2.023
Tb 0.000 0.000 10.235
Al -1.331 2.305 0.000
Al -1.331 2.305 4.126
Al -1.331 2.305 8.133
Al 2.662 0.000 0.000
Al 2.662 0.000 4.126
Al 2.662 0.000 8.133
Al 1.331 2.305 0.000
Al 1.331 2.305 4.126
Al 1.331 2.305 8.133
Cu 0.000 3.074 2.057
Cu 0.000 3.074 6.129
Cu 0.000 3.074 10.201
Cu 2.662 1.537 2.057
Cu 2.662 1.537 6.129
Cu 2.662 1.537 10.201
```

Its electronic total energy is -4.2110 eV per atom. For the density of states at the Fermi level, the calculation gives 5.9 states/eV/f.u. For the formation energy from the elements, the calculation gives -239 meV per atom. For the total magnetization, the calculation gives 0.00 μB per cell.